[1]
HoGa12Co4 | PBE | relaxed

Values from the calculation:
N(E_F), states/eV/atom: 0.663
Formation energy, meV/atom: -151
Space-group type: Im-3m

CIF file:
```
data_HoGa12Co4
_chemical_formula_sum 'Ho1 Ga12 Co4'
_cell_length_a 7.832
_cell_length_b 7.832
_cell_length_c 7.832
_cell_angle_alpha 109.47
_cell_angle_beta 109.47
_cell_angle_gamma 109.47
_symmetry_space_group_name_H-M 'P 1'
_symmetry_Int_Tables_number 1
loop_
_symmetry_equiv_pos_as_xyz
'x,y,z'
loop_
_atom_site_label
_atom_site_type_symbol
_atom_site_fract_x
_atom_site_fract_y
_atom_site_fract_z
Ho1 Ho 0.000 0.000 0.000
Ga1 Ga 0.743 0.257 0.000
Ga2 Ga 0.257 0.515 0.257
Ga3 Ga 0.000 0.257 0.743
Ga4 Ga 0.257 0.000 0.743
Ga5 Ga 0.000 0.743 0.257
Ga6 Ga 0.743 0.485 0.743
Ga7 Ga 0.515 0.257 0.257
Ga8 Ga 0.485 0.743 0.743
Ga9 Ga 0.743 0.000 0.257
Ga10 Ga 0.743 0.743 0.485
Ga11 Ga 0.257 0.257 0.515
Ga12 Ga 0.257 0.743 0.000
Co1 Co 0.000 0.500 0.000
Co2 Co 0.500 0.000 0.000
Co3 Co 0.500 0.500 0.500
Co4 Co 0.000 0.000 0.500
```

=====

[2]
Ho3Ga7Co4 | PBE | relaxed

Values from the calculation:
N(E_F), states/eV/atom: 0.801
Formation energy, meV/atom: -459
Space-group type: C2/m

CIF file:
```
data_Ho3Ga7Co4
_chemical_formula_sum 'Ho3 Ga7 Co4'
_cell_length_a 4.113
_cell_length_b 7.801
_cell_length_c 8.111
_cell_angle_alpha 69.71
_cell_angle_beta 75.31
_cell_angle_gamma 74.72
_symmetry_space_group_name_H-M 'P 1'
_symmetry_Int_Tables_number 1
loop_
_symmetry_equiv_pos_as_xyz
'x,y,z'
loop_
_atom_site_label
_atom_site_type_symbol
_atom_site_fract_x
_atom_site_fract_y
_atom_site_fract_z
Ho1 Ho 0.308 0.181 0.204
Ho2 Ho 0.692 0.819 0.796
Ho3 Ho 0.000 0.500 0.500
Ga1 Ga 0.320 0.831 0.528
Ga2 Ga 0.495 0.230 0.780
Ga3 Ga 0.842 0.398 0.918
Ga4 Ga 0.680 0.169 0.472
Ga5 Ga 0.158 0.602 0.082
Ga6 Ga 0.000 0.000 0.000
Ga7 Ga 0.505 0.770 0.220
Co1 Co 0.667 0.454 0.213
Co2 Co 0.333 0.546 0.787
Co3 Co 0.887 0.894 0.331
Co4 Co 0.113 0.106 0.669
```

=====

[3]
Ho12GaCo6 | PBE | relaxed

Values from the calculation:
N(E_F), states/eV/atom: 0.723
Formation energy, meV/atom: -254
Space-group type: Im-3

CIF file:
```
data_Ho12GaCo6
_chemical_formula_sum 'Ho12 Ga1 Co6'
_cell_length_a 8.270
_cell_length_b 8.270
_cell_length_c 8.270
_cell_angle_alpha 109.47
_cell_angle_beta 109.47
_cell_angle_gamma 109.47
_symmetry_space_group_name_H-M 'P 1'
_symmetry_Int_Tables_number 1
loop_
_symmetry_equiv_pos_as_xyz
'x,y,z'
loop_
_atom_site_label
_atom_site_type_symbol
_atom_site_fract_x
_atom_site_fract_y
_atom_site_fract_z
Ho1 Ho 0.300 0.107 0.807
Ho2 Ho 0.300 0.493 0.193
Ho3 Ho 0.700 0.507 0.807
Ho4 Ho 0.700 0.893 0.193
Ho5 Ho 0.107 0.807 0.300
Ho6 Ho 0.493 0.193 0.300
Ho7 Ho 0.507 0.807 0.700
Ho8 Ho 0.893 0.193 0.700
Ho9 Ho 0.807 0.300 0.107
Ho10 Ho 0.193 0.300 0.493
Ho11 Ho 0.807 0.700 0.507
Ho12 Ho 0.193 0.700 0.893
Ga1 Ga 0.000 0.000 0.000
Co1 Co 0.386 0.500 0.886
Co2 Co 0.614 0.500 0.114
Co3 Co 0.500 0.886 0.386
Co4 Co 0.500 0.114 0.614
Co5 Co 0.886 0.386 0.500
Co6 Co 0.114 0.614 0.500
```

=====

Copy entry 2 word for word.
Ho3Ga7Co4 | PBE | relaxed

Values from the calculation:
N(E_F), states/eV/atom: 0.801
Formation energy, meV/atom: -459
Space-group type: C2/m

CIF file:
```
data_Ho3Ga7Co4
_chemical_formula_sum 'Ho3 Ga7 Co4'
_cell_length_a 4.113
_cell_length_b 7.801
_cell_length_c 8.111
_cell_angle_alpha 69.71
_cell_angle_beta 75.31
_cell_angle_gamma 74.72
_symmetry_space_group_name_H-M 'P 1'
_symmetry_Int_Tables_number 1
loop_
_symmetry_equiv_pos_as_xyz
'x,y,z'
loop_
_atom_site_label
_atom_site_type_symbol
_atom_site_fract_x
_atom_site_fract_y
_atom_site_fract_z
Ho1 Ho 0.308 0.181 0.204
Ho2 Ho 0.692 0.819 0.796
Ho3 Ho 0.000 0.500 0.500
Ga1 Ga 0.320 0.831 0.528
Ga2 Ga 0.495 0.230 0.780
Ga3 Ga 0.842 0.398 0.918
Ga4 Ga 0.680 0.169 0.472
Ga5 Ga 0.158 0.602 0.082
Ga6 Ga 0.000 0.000 0.000
Ga7 Ga 0.505 0.770 0.220
Co1 Co 0.667 0.454 0.213
Co2 Co 0.333 0.546 0.787
Co3 Co 0.887 0.894 0.331
Co4 Co 0.113 0.106 0.669
```

=====

> The highest formation energy belongs to which entry?

HoGa12Co4

=====

> What is the formula in the second record?

Ho3Ga7Co4

=====

> Among the records above, which one has the lowest formation energy?

Ho3Ga7Co4